{"formula": "BaSrRu2", "functional": "GGA-PBE", "state": "optimized geometry", "relative_energy_mev_per_atom": 192, "rho_g_cm3": 5.8, "formation_enthalpy_0k_kcal_per_mol_atoms": 8.67, "total_energy_ev_per_cell": -20.65, "m_tot_mub_per_cell": 0.00, "lattice": [[-2.065, 2.529, 5.864], [2.065, -2.529, 5.864], [2.065, 2.529, -5.864]], "species": ["Ba", "Sr", "Ru", "Ru"], "fractional_positions": [[0.000, 0.000, 0.000], [0.731, 0.231, 0.500], [0.303, 0.803, 0.500], [0.396, 0.396, 0.000]]}